# YBe2SiRh2

YBe2SiRh2 after structural relaxation (PBE-GGA, the Alexandria database).

Calculated values
Density of states at the Fermi level (states/eV/cell): 4.891
Calculated volume (Å³/atom): 15.28
Electronic total energy (eV/atom): -5.78
Total magnetization (μB/cell): 0.000
Formation energy without anion corrections (eV/atom): -0.109

Lattice parameters (Å, degrees): 4.0573 4.0573 5.5696 90.00 90.00 90.00
Positions (direct):
Y  0.0000  0.0000  0.0000
Be  0.0000  0.5000  0.5000
Be  0.5000  0.0000  0.5000
Si  0.0000  0.0000  0.5000
Rh  0.5000  0.5000  0.2540
Rh  0.5000  0.5000  0.7460

# YBeSi2Rh

YBeSi2Rh after structural relaxation (PBE-GGA, the Alexandria database).

Calculated values
Density of states at the Fermi level (states/eV/cell): 3.615
Calculated volume (Å³/atom): 15.59
Electronic total energy (eV/atom): -6.47
Total magnetization (μB/cell): 0.000
Formation energy without anion corrections (eV/atom): -0.790

Lattice parameters (Å, degrees): 3.8929 3.8929 10.2845 90.00 90.00 90.00
Positions (direct):
Y  0.0000  0.0000  0.0000
Y  0.5000  0.5000  0.5000
Be  0.0000  0.5000  0.7500
Be  0.5000  0.0000  0.2500
Si  0.0000  0.0000  0.3835
Si  0.0000  0.0000  0.6165
Si  0.5000  0.5000  0.1165
Si  0.5000  0.5000  0.8835
Rh  0.0000  0.5000  0.2500
Rh  0.5000  0.0000  0.7500

# Y2Be4Si3Rh

Y2Be4Si3Rh after structural relaxation (PBE-GGA, the Alexandria database).

Calculated values
Density of states at the Fermi level (states/eV/cell): 4.732
Calculated volume (Å³/atom): 14.37
Electronic total energy (eV/atom): -5.69
Total magnetization (μB/cell): 0.000
Formation energy without anion corrections (eV/atom): -0.542

Lattice parameters (Å, degrees): 3.8152 3.8152 9.8736 90.00 90.00 90.00
Positions (direct):
Y  0.0000  0.5000  0.2455
Y  0.5000  0.0000  0.7545
Be  0.0000  0.0000  0.0000
Be  0.0000  0.5000  0.6346
Be  0.5000  0.0000  0.3654
Be  0.5000  0.5000  0.0000
Si  0.0000  0.5000  0.8669
Si  0.5000  0.0000  0.1331
Si  0.5000  0.5000  0.5000
Rh  0.0000  0.0000  0.5000

# Sm4BeRh3

Sm4BeRh3 after structural relaxation (PBE-GGA, the Alexandria database).

Calculated values
Density of states at the Fermi level (states/eV/cell): 4.858
Calculated volume (Å³/atom): 22.56
Electronic total energy (eV/atom): -6.16
Total magnetization (μB/cell): 0.000

Lattice parameters (Å, degrees): 3.9989 4.1072 10.9889 90.00 90.00 90.00
Positions (direct):
Sm  0.0000  0.0000  0.0000
Sm  0.0000  0.5000  0.2735
Sm  0.5000  0.0000  0.4908
Sm  0.5000  0.5000  0.7782
Be  0.0000  0.0000  0.6878
Rh  0.0000  0.5000  0.5842
Rh  0.5000  0.0000  0.2270
Rh  0.5000  0.5000  0.0446

# SmBe3Rh

SmBe3Rh after structural relaxation (PBE-GGA, the Alexandria database).

Calculated values
Density of states at the Fermi level (states/eV/cell): 1.392
Calculated volume (Å³/atom): 15.55
Electronic total energy (eV/atom): -4.89
Total magnetization (μB/cell): 0.000

Lattice parameters (Å, degrees): 4.2683 4.2683 4.2683 90.00 90.00 90.00
Positions (direct):
Sm  0.0000  0.0000  0.0000
Be  0.0000  0.5000  0.5000
Be  0.5000  0.0000  0.5000
Be  0.5000  0.5000  0.0000
Rh  0.5000  0.5000  0.5000

# SmBe3Rh2

SmBe3Rh2 after structural relaxation (PBE-GGA, the Alexandria database).

Calculated values
Density of states at the Fermi level (states/eV/cell): 6.068
Calculated volume (Å³/atom): 14.15
Electronic total energy (eV/atom): -5.66
Total magnetization (μB/cell): 0.000

Lattice parameters (Å, degrees): 5.6256 5.6256 5.5696 90.00 90.00 74.44
Positions (direct):
Sm  0.1710  0.8290  0.7500
Sm  0.8290  0.1710  0.2500
Be  0.0307  0.5974  0.2500
Be  0.4026  0.9693  0.2500
Be  0.4136  0.5864  0.2500
Be  0.5864  0.4136  0.7500
Be  0.5974  0.0307  0.7500
Be  0.9693  0.4026  0.7500
Rh  0.3039  0.3039  0.0000
Rh  0.3039  0.3039  0.5000
Rh  0.6961  0.6961  0.0000
Rh  0.6961  0.6961  0.5000

# Sm2Be9Rh6

Sm2Be9Rh6 after structural relaxation (PBE-GGA, the Alexandria database).

Calculated values
Density of states at the Fermi level (states/eV/cell): 4.995
Calculated volume (Å³/atom): 14.45
Electronic total energy (eV/atom): -5.51
Total magnetization (μB/cell): 0.000

Lattice parameters (Å, degrees): 5.2975 5.2975 10.1079 90.00 90.00 120.00
Positions (direct):
Sm  0.0000  0.0000  0.2018
Sm  0.0000  0.0000  0.7982
Be  0.0000  0.5000  0.0000
Be  0.0000  0.5000  0.3399
Be  0.0000  0.5000  0.6601
Be  0.5000  0.0000  0.0000
Be  0.5000  0.0000  0.3399
Be  0.5000  0.0000  0.6601
Be  0.5000  0.5000  0.0000
Be  0.5000  0.5000  0.3399
Be  0.5000  0.5000  0.6601
Rh  0.3333  0.6667  0.1713
Rh  0.3333  0.6667  0.5000
Rh  0.3333  0.6667  0.8287
Rh  0.6667  0.3333  0.1713
Rh  0.6667  0.3333  0.5000
Rh  0.6667  0.3333  0.8287

# SmBe2Rh3

SmBe2Rh3 after structural relaxation (PBE-GGA, the Alexandria database).

Calculated values
Density of states at the Fermi level (states/eV/cell): 3.550
Calculated volume (Å³/atom): 14.58
Electronic total energy (eV/atom): -6.37
Total magnetization (μB/cell): 0.000

Lattice parameters (Å, degrees): 5.5295 5.5295 3.3035 90.00 90.00 120.00
Positions (direct):
Sm  0.0000  0.0000  0.0000
Be  0.3333  0.6667  0.0000
Be  0.6667  0.3333  0.0000
Rh  0.0000  0.5000  0.5000
Rh  0.5000  0.0000  0.5000
Rh  0.5000  0.5000  0.5000